# 1
SrPrPd6 | Alexandria via LeMat-Bulk | PBE | relaxed; energy of formation from the pure elements = -0.3532 eV per atom; V = 19.84 Å³ per atom; theoretical density = 9.07 g/cm3
1.0
-1.8089 -4.9698 1.1613
-1.0257 -0.8529 -5.2478
4.9995 -1.9731 -0.6565
Sr Pr Pd
1 1 6
Direct
0.5000 0.5000 0.5000
0.0000 0.0000 0.0000
0.5000 0.7513 0.0000
0.7513 0.0000 0.5000
0.0000 0.5000 0.2487
0.2487 0.0000 0.5000
0.5000 0.2487 0.0000
0.0000 0.5000 0.7513

---

# 2
SrPr3Pd | Alexandria via LeMat-Bulk | PBE | relaxed; energy of formation from the pure elements = -0.1121 eV per atom; V = 39.15 Å³ per atom; theoretical density = 5.23 g/cm3
1.0
5.8065 0.0000 0.0000
0.0000 5.8065 0.0000
0.0000 0.0000 5.8065
Pr Sr Pd
3 1 1
Direct
0.0000 0.5000 0.0000
0.0000 0.0000 0.5000
0.5000 0.0000 0.0000
0.5000 0.5000 0.5000
0.0000 0.0000 0.0000

---

# 3
SrPr3Pd8 | Alexandria via LeMat-Bulk | PBE | relaxed; energy of formation from the pure elements = -0.7164 eV per atom; V = 20.32 Å³ per atom; theoretical density = 9.27 g/cm3
1.0
-5.2320 -1.2037 1.4899
-0.9574 -3.3972 4.3111
-2.1063 5.5941 7.5407
Sr Pr Pd
1 3 8
Direct
0.8743 0.8743 0.3772
0.3755 0.3755 0.8735
0.9989 0.9989 0.0032
0.5014 0.5014 0.4958
0.9403 0.4378 0.1842
0.4345 0.9373 0.6909
0.4378 0.4378 0.1842
0.9373 0.9373 0.6909
0.1875 0.1875 0.4375
0.6875 0.6875 0.9375
0.4378 0.9403 0.1842
0.9373 0.4345 0.6909

---

# 4
SrPrPd2 | Alexandria via LeMat-Bulk | PBE | relaxed; energy of formation from the pure elements = -0.6797 eV per atom; V = 25.41 Å³ per atom; theoretical density = 7.21 g/cm3
1.0
3.6986 0.0000 0.0000
0.0000 3.6986 0.0000
0.0000 0.0000 7.4303
Pr Sr Pd
1 1 2
Direct
0.5000 0.5000 0.0000
0.5000 0.5000 0.5000
0.0000 0.0000 0.7818
0.0000 0.0000 0.2182

---

# 5
SrPr2Pd2 | Alexandria via LeMat-Bulk | PBE | relaxed; energy of formation from the pure elements = -0.5001 eV per atom; V = 29.33 Å³ per atom; theoretical density = 6.59 g/cm3
1.0
5.2376 0.0073 0.0096
2.6194 7.5650 1.2478
2.6247 1.0898 7.5883
Sr Pr Pd
2 4 4
Direct
0.7503 0.7499 0.2500
0.2497 0.2501 0.7500
0.4124 0.4214 0.2547
0.9118 0.9214 0.7547
0.0882 0.0786 0.2453
0.5876 0.5786 0.7453
0.3486 0.8187 0.9846
0.8487 0.3187 0.4846
0.6514 0.1813 0.0154
0.1513 0.6813 0.5154

---

# 6
SrPrZnPd | Alexandria via LeMat-Bulk | PBE | relaxed; energy of formation from the pure elements = -0.4068 eV per atom; V = 25.89 Å³ per atom; theoretical density = 6.42 g/cm3
1.0
5.2710 0.0000 0.0000
2.6355 4.5648 0.0000
2.6355 1.5216 4.3037
Pr Sr Zn Pd
1 1 1 1
Direct
0.2500 0.2500 0.2500
0.7500 0.7500 0.7500
0.0000 0.0000 0.0000
0.5000 0.5000 0.5000

---

# 7
Pr3TaPd12 | Alexandria via LeMat-Bulk | PBE | relaxed; energy of formation from the pure elements = -0.6799 eV per atom; V = 17.94 Å³ per atom; theoretical density = 10.88 g/cm3
1.0
4.1579 0.0000 0.0000
0.0000 4.1579 0.0000
0.0000 0.0000 16.6000
Pr Ta Pd
3 1 12
Direct
0.0000 0.0000 0.2465
0.0000 0.0000 0.5000
0.0000 0.0000 0.7535
0.0000 0.0000 0.0000
0.5000 0.5000 0.0000
0.5000 0.5000 0.2390
0.5000 0.5000 0.5000
0.5000 0.5000 0.7610
0.5000 0.0000 0.1093
0.5000 0.0000 0.3707
0.5000 0.0000 0.6293
0.5000 0.0000 0.8907
0.0000 0.5000 0.1093
0.0000 0.5000 0.3707
0.0000 0.5000 0.6293
0.0000 0.5000 0.8907

---

# 8
TbPr2Pd9 | Alexandria via LeMat-Bulk | PBE | relaxed; energy of formation from the pure elements = -0.7769 eV per atom; V = 18.44 Å³ per atom; theoretical density = 10.50 g/cm3
1.0
4.1992 0.0000 0.0000
0.0000 4.1992 0.0000
0.0000 0.0000 12.5485
Tb Pr Pd
1 2 9
Direct
0.0000 0.0000 0.0000
0.0000 0.0000 0.3299
0.0000 0.0000 0.6701
0.5000 0.5000 0.0000
0.5000 0.5000 0.3317
0.5000 0.5000 0.6683
0.5000 0.0000 0.1611
0.5000 0.0000 0.5000
0.5000 0.0000 0.8389
0.0000 0.5000 0.1611
0.0000 0.5000 0.5000
0.0000 0.5000 0.8389

---

# 9
TbPr2Pd2 | Alexandria via LeMat-Bulk | PBE | relaxed; energy of formation from the pure elements = -0.6524 eV per atom; V = 26.75 Å³ per atom; theoretical density = 8.11 g/cm3
1.0
4.0247 0.0000 0.0000
2.0124 6.5775 0.0045
2.0124 0.9719 10.1051
Tb Pr Pd
2 4 4
Direct
0.7959 0.0507 0.3575
0.2041 0.9493 0.6425
0.3290 0.2647 0.0773
0.4544 0.3945 0.6966
0.6710 0.7353 0.9227
0.5456 0.6055 0.3034
0.9853 0.1473 0.8821
0.1227 0.3075 0.4471
0.0147 0.8527 0.1179
0.8773 0.6925 0.5529

---

# 10
TbPrPd2 | Alexandria via LeMat-Bulk | PBE | relaxed; energy of formation from the pure elements = -0.7856 eV per atom; V = 22.98 Å³ per atom; theoretical density = 9.26 g/cm3
1.0
-0.4755 1.9262 -2.9088
-3.4845 -0.4075 0.2997
-0.3637 6.1470 4.1299
Pr Tb Pd
1 1 2
Direct
0.5000 0.5000 0.5000
0.5000 0.5000 0.0000
0.0000 0.0000 0.7725
0.0000 0.0000 0.2275

---

# 11
Tb2PrPd9 | Alexandria via LeMat-Bulk | PBE | relaxed; energy of formation from the pure elements = -0.8193 eV per atom; V = 18.04 Å³ per atom; theoretical density = 10.86 g/cm3
1.0
4.1698 0.0000 0.0000
0.0000 4.1698 0.0000
0.0000 0.0000 12.4518
Tb Pr Pd
2 1 9
Direct
0.0000 0.0000 0.3367
0.0000 0.0000 0.6633
0.0000 0.0000 0.0000
0.5000 0.5000 0.0000
0.5000 0.5000 0.3352
0.5000 0.5000 0.6648
0.5000 0.0000 0.1723
0.5000 0.0000 0.5000
0.5000 0.0000 0.8277
0.0000 0.5000 0.1723
0.0000 0.5000 0.5000
0.0000 0.5000 0.8277

---

# 12
TbPr2Pd | Alexandria via LeMat-Bulk | PBE | relaxed; energy of formation from the pure elements = -0.2345 eV per atom; V = 31.21 Å³ per atom; theoretical density = 7.28 g/cm3
1.0
-0.9575 -0.2426 -3.6893
1.9492 -2.3143 -2.3305
-5.9063 -8.2233 0.0968
Pr Tb Pd
2 1 1
Direct
0.2669 0.2669 0.1993
0.7331 0.7331 0.8007
0.5000 0.5000 0.5000
0.0000 0.0000 0.0000

---

Repeat the tenth record exactly.
TbPrPd2 | Alexandria via LeMat-Bulk | PBE | relaxed; energy of formation from the pure elements = -0.7856 eV per atom; V = 22.98 Å³ per atom; theoretical density = 9.26 g/cm3
1.0
-0.4755 1.9262 -2.9088
-3.4845 -0.4075 0.2997
-0.3637 6.1470 4.1299
Pr Tb Pd
1 1 2
Direct
0.5000 0.5000 0.5000
0.5000 0.5000 0.0000
0.0000 0.0000 0.7725
0.0000 0.0000 0.2275

---

> Which of these has the lowest theoretical density?

SrPr3Pd

---

> Which formula does entry 11 have?

Tb2PrPd9

---

> Which formula does entry 8 have?

TbPr2Pd9